Material: Sc10Tl3Sb3
Method: DFT, PBE-GGA
State: optimized geometry

Energy: -5.76 eV/atom
SG: No. 189

Cell and atoms, written as POSCAR:
```
Sc10Tl3Sb3
1.0
8.444 0.000 0.000
-4.222 7.313 0.000
0.000 0.000 6.104
Sc Tl Sb
10 3 3
Cartesian
-0.993 1.720 0.000 Sc
-3.229 5.593 3.052 Sc
1.986 0.000 0.000 Sc
0.993 1.720 3.052 Sc
0.000 4.875 1.537 Sc
0.000 4.875 4.566 Sc
4.222 2.438 1.537 Sc
4.222 2.438 4.566 Sc
6.458 0.000 3.052 Sc
3.229 5.593 0.000 Sc
-1.661 2.877 3.052 Tl
3.323 0.000 3.052 Tl
2.561 4.435 3.052 Tl
-2.559 4.432 0.000 Sb
1.663 2.881 0.000 Sb
5.118 0.000 0.000 Sb
```